No. 1
Density functional theory data (PBE-GGA) for a geometry-optimized AlH2Br6 structure.

It has space group C2/c (No. 15), with a = 15.576 Å, b = 15.267 Å, c = 5.806 Å, α = 90.00°, β = 104.17° and γ = 90.00°. The inequivalent atoms are Al at (0.000, 0.207, 0.250), H at (0.223, 0.117, 0.508), Br at (0.061, 0.301, 0.575), Br at (0.111, 0.125, 0.159) and Br at (0.205, 0.397, 0.282).

The value obtained for the density of states at the Fermi level is 0.5 states/eV/f.u. As for the total energy: -2.81 eV/atom. Its magnetization is 1.05 μB per formula unit. For the volume, the calculation gives 37.2 A^3/atom.

No. 2
Density functional theory data (PBE-GGA) for a geometry-optimized AgMoP2 structure.

It has space group I-4m2 (No. 119), with a = 3.636 Å, b = 3.636 Å, c = 9.304 Å, α = 90.00°, β = 90.00° and γ = 90.00°. The inequivalent atoms are Ag at (0.000, 0.000, 0.000), Mo at (0.000, 0.500, 0.750), P at (0.000, 0.000, 0.500) and P at (0.000, 0.500, 0.250).

The value obtained for the density of states at the Fermi level is 3.2 states/eV/f.u. As for the relative energy among the computed polymorphs: 167 kJ/mol of formula units. The calculation puts the formation energy at 142.3 kJ/mol of formula units. Its magnetization is 0.01 μB per formula unit. For the volume, the calculation gives 15.4 A^3/atom.

No. 3
Density functional theory data (PBE-GGA) for a geometry-optimized Cs2RbSb2 structure.

It has space group P4/mbm (No. 127), with a = 11.434 Å, b = 11.434 Å, c = 3.570 Å, α = 90.00°, β = 90.00° and γ = 90.00°. The inequivalent atoms are Cs at (0.117, 0.383, 0.000), Rb at (0.000, 0.000, 0.000) and Sb at (0.180, 0.680, 0.500).

The value obtained for the density of states at the Fermi level is 4.1 states/eV/f.u. As for the relative energy among the computed polymorphs: 89 kJ/mol of formula units. As for the uncorrected formation energy: -79.9 kJ/mol of formula units. Its magnetization is 0.00 μB per formula unit. For the volume, the calculation gives 46.7 A^3/atom.

No. 4
Density functional theory data (PBE-GGA) for a geometry-optimized CdSbTe2N structure.

It has space group P4/mmm (No. 123), with a = 5.528 Å, b = 5.528 Å, c = 5.516 Å, α = 90.00°, β = 90.00° and γ = 90.00°. The inequivalent atoms are Cd at (0.000, 0.000, 0.000), Sb at (0.000, 0.000, 0.500), Te at (0.000, 0.500, 0.000) and N at (0.500, 0.500, 0.500).

The value obtained for the density of states at the Fermi level is 11.6 states/eV/f.u. As for the relative energy among the computed polymorphs: 607 kJ/mol of formula units. As for the uncorrected formation energy: 914.1 kJ/mol of formula units. Its magnetization is 0.00 μB per formula unit. For the volume, the calculation gives 33.7 A^3/atom.

No. 5
Density functional theory data (PBE-GGA) for a geometry-optimized CaSbOs2 structure.

It has space group P4/mmm (No. 123), with a = 4.354 Å, b = 4.354 Å, c = 3.763 Å, α = 90.00°, β = 90.00° and γ = 90.00°. The inequivalent atoms are Ca at (0.000, 0.000, 0.000), Sb at (0.500, 0.500, 0.000) and Os at (0.000, 0.500, 0.500).

The value obtained for the density of states at the Fermi level is 3.9 states/eV/f.u. As for the uncorrected formation energy: 201.4 kJ/mol of formula units. Its magnetization is 0.00 μB per formula unit. For the volume, the calculation gives 17.8 A^3/atom.

No. 6
Density functional theory data (PBE-GGA) for a geometry-optimized K4NdEr3Te8 structure.

It has space group R-3m (No. 166, hexagonal axes), with a = 9.0112 Å, b = 9.0112 Å, c = 24.7406 Å, α = 90.00°, β = 90.00° and γ = 120.00°. The inequivalent atoms are K at (0.0000, 0.0000, 0.0000), K at (0.0000, 0.5000, 0.0000), Nd at (0.0000, 0.0000, 0.5000), Er at (0.0000, 0.5000, 0.5000), Te at (0.0000, 0.0000, 0.2352) and Te at (0.0083, 0.5042, 0.7634).

As for the uncorrected formation energy: -2142.3 kJ/mol of formula units. Its magnetization is 0.00 μB per formula unit. For the volume, the calculation gives 36.2 A^3/atom.

No. 7
Density functional theory data (PBE-GGA) for a geometry-optimized SmMgCdCo structure.

It has space group F-43m (No. 216), with a = 6.960 Å, b = 6.960 Å, c = 6.960 Å, α = 90.00°, β = 90.00° and γ = 90.00°. The inequivalent atoms are Sm at (0.000, 0.000, 0.000), Mg at (0.000, 0.000, 0.500), Cd at (0.250, 0.250, 0.250) and Co at (0.250, 0.250, 0.750).

The value obtained for the density of states at the Fermi level is 4.2 states/eV/f.u. The calculation puts the formation energy at 5.7 kJ/mol of formula units. Its magnetization is 1.04 μB per formula unit. For the volume, the calculation gives 21.1 A^3/atom.

No. 8
Density functional theory data (PBE-GGA) for a geometry-optimized Eu2SiO5 structure.

It has space group Pnma (No. 62), with a = 10.700 Å, b = 3.760 Å, c = 10.820 Å, α = 90.00°, β = 90.00° and γ = 90.00°. The inequivalent atoms are Eu at (0.090, 0.250, 0.208), Eu at (0.135, 0.250, 0.560), Si at (0.190, 0.250, 0.871), O at (0.008, 0.750, 0.604), O at (0.040, 0.250, 0.838), O at (0.222, 0.750, 0.875), O at (0.223, 0.750, 0.241) and O at (0.227, 0.250, 0.022).

The value obtained for the density of states at the Fermi level is 9.8 states/eV/f.u. As for the relative energy among the computed polymorphs: 36 kJ/mol of formula units. As for the uncorrected formation energy: -2135.5 kJ/mol of formula units. Its magnetization is 12.00 μB per formula unit. For the volume, the calculation gives 13.6 A^3/atom.

No. 9
Density functional theory data (PBE-GGA) for a geometry-optimized Dy2AlSn4 structure.

It has space group P-4m2 (No. 115), with a = 4.395 Å, b = 4.395 Å, c = 9.550 Å, α = 90.00°, β = 90.00° and γ = 90.00°. The inequivalent atoms are Dy at (0.000, 0.500, 0.241), Al at (0.500, 0.500, 0.000), Sn at (0.000, 0.000, 0.500), Sn at (0.000, 0.500, 0.826) and Sn at (0.500, 0.500, 0.500).

The value obtained for the density of states at the Fermi level is 5.0 states/eV/f.u. The calculation puts the formation energy at -263.8 kJ/mol of formula units. Its magnetization is 0.00 μB per formula unit. For the volume, the calculation gives 26.4 A^3/atom.

No. 10
Density functional theory data (PBE-GGA) for a geometry-optimized NbSiTe2I structure.

It has space group P4/mmm (No. 123), with a = 5.433 Å, b = 5.433 Å, c = 5.590 Å, α = 90.00°, β = 90.00° and γ = 90.00°. The inequivalent atoms are Nb at (0.000, 0.000, 0.000), Si at (0.500, 0.500, 0.500), Te at (0.000, 0.500, 0.000) and I at (0.000, 0.000, 0.500).

The value obtained for the density of states at the Fermi level is 5.0 states/eV/f.u. As for the relative energy among the computed polymorphs: 0 kJ/mol of formula units. As for the uncorrected formation energy: 294.8 kJ/mol of formula units. Its magnetization is 1.97 μB per formula unit. For the volume, the calculation gives 33.0 A^3/atom.

No. 11
Density functional theory data (PBE-GGA) for a geometry-optimized CeNd6Th structure.

It has space group P-1 (No. 2), with a = 6.535 Å, b = 6.881 Å, c = 6.899 Å, α = 61.11°, β = 86.65° and γ = 84.50°. The inequivalent atoms are Ce at (0.000, 0.000, 0.000), Nd at (0.238, 0.097, 0.427), Nd at (0.253, 0.558, 0.442), Nd at (0.258, 0.574, 0.905) and Th at (0.500, 0.000, 0.000).

The value obtained for the density of states at the Fermi level is 15.8 states/eV/f.u. The calculation puts the formation energy at 157.6 kJ/mol of formula units. Its magnetization is 0.86 μB per formula unit. For the volume, the calculation gives 33.8 A^3/atom.

No. 12
Density functional theory data (PBE-GGA) for a geometry-optimized K2PuPa2Se6 structure.

It has space group C2/m (No. 12), with a = 7.254 Å, b = 12.597 Å, c = 8.229 Å, α = 90.00°, β = 106.72° and γ = 90.00°. The inequivalent atoms are K at (0.000, 0.165, 0.000), Pu at (0.000, 0.000, 0.500), Pa at (0.000, 0.334, 0.500), Se at (0.226, 0.500, 0.705) and Se at (0.237, 0.171, 0.703).

The value obtained for the density of states at the Fermi level is 19.3 states/eV/f.u. As for the uncorrected formation energy: -1510.6 kJ/mol of formula units. Its magnetization is 8.00 μB per formula unit. For the volume, the calculation gives 32.7 A^3/atom.

No. 13
Density functional theory data (PBE-GGA) for a geometry-optimized Ba4NaLa3S8 structure.

It has space group C2/m (No. 12), with a = 14.985 Å, b = 8.652 Å, c = 8.742 Å, α = 90.00°, β = 124.85° and γ = 90.00°. The inequivalent atoms are Ba at (0.000, 0.000, 0.000), Ba at (0.000, 0.500, 0.000), Ba at (0.250, 0.250, 0.000), Na at (0.000, 0.000, 0.500), La at (0.000, 0.500, 0.500), La at (0.250, 0.250, 0.500), S at (0.011, 0.256, 0.276), S at (0.242, 0.500, 0.724) and S at (0.245, 0.000, 0.725).

The value obtained for the density of states at the Fermi level is 5.8 states/eV/f.u. As for the uncorrected formation energy: -3111.9 kJ/mol of formula units. Its magnetization is 0.00 μB per formula unit. For the volume, the calculation gives 29.1 A^3/atom.

No. 14
Density functional theory data (PBE-GGA) for a geometry-optimized TaPbCl2 structure.

It has space group Imm2 (No. 44), with a = 3.062 Å, b = 4.536 Å, c = 16.577 Å, α = 90.00°, β = 90.00° and γ = 90.00°. The inequivalent atoms are Ta at (0.000, 0.000, 0.000), Pb at (0.000, 0.500, 0.333), Cl at (0.000, 0.000, 0.482) and Cl at (0.000, 0.500, 0.618).

The value obtained for the density of states at the Fermi level is 2.9 states/eV/f.u. As for the relative energy among the computed polymorphs: 145 kJ/mol of formula units. As for the uncorrected formation energy: -43.9 kJ/mol of formula units. Its magnetization is 1.15 μB per formula unit. For the volume, the calculation gives 28.8 A^3/atom.

No. 15
Density functional theory data (PBE-GGA) for a geometry-optimized BaDy4Hg5 structure.

It has space group P4/mmm (No. 123), with a = 3.787 Å, b = 3.787 Å, c = 19.242 Å, α = 90.00°, β = 90.00° and γ = 90.00°. The inequivalent atoms are Ba at (0.000, 0.000, 0.000), Dy at (0.000, 0.000, 0.215), Dy at (0.000, 0.000, 0.406), Hg at (0.500, 0.500, 0.127), Hg at (0.500, 0.500, 0.311) and Hg at (0.500, 0.500, 0.500).

The value obtained for the density of states at the Fermi level is 7.9 states/eV/f.u. The calculation puts the formation energy at -458.9 kJ/mol of formula units. Its magnetization is 0.00 μB per formula unit. For the volume, the calculation gives 27.6 A^3/atom.

No. 16
Density functional theory data (PBE-GGA) for a geometry-optimized LiTeP2O structure.

It has space group P4/mmm (No. 123), with a = 5.266 Å, b = 5.266 Å, c = 3.952 Å, α = 90.00°, β = 90.00° and γ = 90.00°. The inequivalent atoms are Li at (0.000, 0.000, 0.000), Te at (0.500, 0.500, 0.500), P at (0.000, 0.500, 0.500) and O at (0.500, 0.500, 0.000).

The value obtained for the density of states at the Fermi level is 4.2 states/eV/f.u. As for the relative energy among the computed polymorphs: 0 kJ/mol of formula units. As for the uncorrected formation energy: 180.0 kJ/mol of formula units. Its magnetization is 0.00 μB per formula unit. For the volume, the calculation gives 21.9 A^3/atom.

No. 17
Density functional theory data (PBE-GGA) for a geometry-optimized HoEr8Tm2 structure.

It has space group C2/m (No. 12), with a = 8.978 Å, b = 16.418 Å, c = 5.824 Å, α = 90.00°, β = 127.15° and γ = 90.00°. The inequivalent atoms are Ho at (0.000, 0.000, 0.000), Er at (0.000, 0.203, 0.000), Er at (0.048, 0.500, 0.784), Er at (0.223, 0.125, 0.702) and Tm at (0.000, 0.311, 0.500).

The value obtained for the density of states at the Fermi level is 14.1 states/eV/f.u. As for the relative energy among the computed polymorphs: 0 kJ/mol of formula units. The calculation puts the formation energy at 171.8 kJ/mol of formula units. Its magnetization is 0.00 μB per formula unit. For the volume, the calculation gives 31.1 A^3/atom.

No. 18
Density functional theory data (PBE-GGA) for a geometry-optimized CdS structure.

It has space group Pmn2_1 (No. 31), with a = 11.813 Å, b = 4.097 Å, c = 7.250 Å, α = 90.00°, β = 90.00° and γ = 90.00°. The inequivalent atoms are Cd at (0.000, 0.031, 0.000), Cd at (0.211, 0.344, 0.759), S at (0.000, 0.547, 0.775) and S at (0.202, 0.154, 0.108).

As for the uncorrected formation energy: -94.0 kJ/mol of formula units. Its magnetization is 0.00 μB per formula unit. For the volume, the calculation gives 29.2 A^3/atom.

No. 19
Density functional theory data (PBE-GGA) for a geometry-optimized Mn2MoPt structure.

It has space group C2/m (No. 12), with a = 8.721 Å, b = 2.740 Å, c = 4.934 Å, α = 90.00°, β = 99.39° and γ = 90.00°. The inequivalent atoms are Mn at (0.248, 0.000, 0.256), Mo at (0.000, 0.000, 0.500) and Pt at (0.000, 0.500, 0.000).

The value obtained for the density of states at the Fermi level is 3.8 states/eV/f.u. The calculation puts the formation energy at -0.6 kJ/mol of formula units. Its magnetization is 5.73 μB per formula unit. For the volume, the calculation gives 14.5 A^3/atom.

No. 20
Density functional theory data (PBE-GGA) for a geometry-optimized Ca2HfSbTe structure.

It has space group P4/mmm (No. 123), with a = 6.177 Å, b = 6.177 Å, c = 5.256 Å, α = 90.00°, β = 90.00° and γ = 90.00°. The inequivalent atoms are Ca at (0.000, 0.500, 0.000), Hf at (0.000, 0.000, 0.000), Sb at (0.000, 0.000, 0.500) and Te at (0.500, 0.500, 0.500).

The value obtained for the density of states at the Fermi level is 4.7 states/eV/f.u. As for the uncorrected formation energy: 142.1 kJ/mol of formula units. Its magnetization is 0.45 μB per formula unit. For the volume, the calculation gives 40.1 A^3/atom.